{
  "formula": "GaBPOs2",
  "functional": "PBE-GGA",
  "state": "optimized geometry",
  "mass_density_g_cm3": 11.2,
  "space_group": "P4/mmm",
  "m_tot_mub_per_fu": 0.0,
  "ef_mev_per_atom": 1045,
  "final_energy_ev_per_atom": -6.470,
  "cell": [[-0.3131, -3.9164, 2.2320], [3.5400, -0.0477, 0.4130], [-0.4239, 2.2530, 3.8938]],
  "species": ["Os", "Ga", "Os", "B", "P"],
  "frac_coords": [[0.5000, 0.0000, 0.0000], [0.5000, 0.5000, 0.5000], [0.0000, 0.0000, 0.5000], [0.0000, 0.5000, 0.0000], [0.0000, 0.0000, 0.0000]]
}

{
  "formula": "LiCu2Pt",
  "functional": "PBE-GGA",
  "state": "optimized geometry",
  "mass_density_g_cm3": 9.9,
  "space_group": "Cmmm",
  "m_tot_mub_per_fu": 0.0,
  "ef_mev_per_atom": -49,
  "final_energy_ev_per_atom": -4.085,
  "cell": [[2.6437, -0.0102, 0.0000], [-1.2223, 2.3442, 0.0000], [0.0000, 0.0000, 8.9159]],
  "species": ["Li", "Pt", "Cu", "Cu"],
  "frac_coords": [[0.5000, 0.5000, 0.2500], [0.5000, 0.5000, 0.7500], [0.0000, 0.0000, 0.0070], [0.0000, 0.0000, 0.4930]]
}

{
  "formula": "Na3SiNi",
  "functional": "PBE-GGA",
  "state": "optimized geometry",
  "mass_density_g_cm3": 1.9,
  "space_group": "Pm-3m",
  "m_tot_mub_per_fu": 0.0,
  "final_energy_ev_per_atom": -2.175,
  "cell": [[-1.6517, 4.4370, -2.0233], [-3.3895, -2.5804, -2.8917], [-3.5060, 0.4044, 3.7488]],
  "species": ["Ni", "Na", "Na", "Si", "Na"],
  "frac_coords": [[0.0000, 0.0000, 0.0000], [0.5000, 0.0000, 0.0000], [0.0000, 0.5000, 0.0000], [0.5000, 0.5000, 0.5000], [0.0000, 0.0000, 0.5000]]
}

{
  "formula": "Ac2SmBi3",
  "functional": "PBE-GGA",
  "state": "optimized geometry",
  "mass_density_g_cm3": 8.8,
  "space_group": "Immm",
  "m_tot_mub_per_fu": 0.0,
  "ef_mev_per_atom": -956,
  "final_energy_ev_per_atom": -5.052,
  "cell": [[-1.3849, -1.9332, -4.1428], [4.0686, -5.2993, 1.1128], [-6.6735, 0.2290, 4.8780]],
  "species": ["Ac", "Ac", "Bi", "Bi", "Bi", "Sm"],
  "frac_coords": [[0.1687, 0.1687, 0.8373], [0.8313, 0.8313, 0.1627], [0.5000, 0.0000, 0.5000], [0.1571, 0.6571, 0.8142], [0.8429, 0.3429, 0.1858], [0.5000, 0.5000, 0.5000]]
}

{
  "formula": "TeIr2Cl",
  "functional": "PBE-GGA",
  "state": "optimized geometry",
  "mass_density_g_cm3": 13.1,
  "space_group": "Fm-3m",
  "m_tot_mub_per_fu": 0.0,
  "final_energy_ev_per_atom": -4.904,
  "cell": [[0.0000, 3.2582, 3.2582], [3.2582, 0.0000, 3.2582], [3.2582, 3.2582, 0.0000]],
  "species": ["Ir", "Te", "Cl", "Ir"],
  "frac_coords": [[0.2500, 0.2500, 0.2500], [0.5000, 0.5000, 0.5000], [0.0000, 0.0000, 0.0000], [0.7500, 0.7500, 0.7500]]
}

{
  "formula": "Ga3Sn5",
  "functional": "PBE-GGA",
  "state": "optimized geometry",
  "mass_density_g_cm3": 6.9,
  "space_group": "P4/mmm",
  "m_tot_mub_per_fu": 0.0,
  "ef_mev_per_atom": 46,
  "final_energy_ev_per_atom": -3.591,
  "cell": [[-0.5885, -1.4266, 3.2965], [2.2137, -2.7747, -0.8056], [11.3504, 7.5222, 5.2818]],
  "species": ["Sn", "Sn", "Ga", "Ga", "Sn", "Sn", "Sn", "Ga"],
  "frac_coords": [[0.0000, 0.0000, 0.2383], [0.5000, 0.5000, 0.3813], [0.0000, 0.0000, 0.5000], [0.5000, 0.5000, 0.1199], [0.0000, 0.0000, 0.7617], [0.5000, 0.5000, 0.6187], [0.0000, 0.0000, 0.0000], [0.5000, 0.5000, 0.8801]]
}

{
  "formula": "La3MoI",
  "functional": "PBE-GGA",
  "state": "optimized geometry",
  "mass_density_g_cm3": 6.1,
  "space_group": "Pm-3m",
  "m_tot_mub_per_fu": 0.0,
  "final_energy_ev_per_atom": -5.446,
  "cell": [[-5.4044, -0.5489, 1.3039], [-0.9305, -2.4992, -4.9089], [1.0656, -4.9660, 2.3263]],
  "species": ["I", "La", "La", "La", "Mo"],
  "frac_coords": [[0.5000, 0.5000, 0.5000], [0.0000, 0.5000, 0.0000], [0.5000, 0.0000, 0.0000], [0.0000, 0.0000, 0.5000], [0.0000, 0.0000, 0.0000]]
}

{
  "formula": "ScTe2F",
  "functional": "PBE-GGA",
  "state": "optimized geometry",
  "mass_density_g_cm3": 5.7,
  "space_group": "R-3m",
  "m_tot_mub_per_fu": 0.0,
  "final_energy_ev_per_atom": -3.928,
  "cell": [[1.8993, 0.0000, 9.9948], [-0.9497, 1.6449, 9.9948], [-0.9497, -1.6449, 9.9948]],
  "species": ["Sc", "Te", "F", "Te"],
  "frac_coords": [[0.0000, 0.0000, 0.0000], [0.0968, 0.0968, 0.0968], [0.5000, 0.5000, 0.5000], [0.9032, 0.9032, 0.9032]]
}